(1)
Ca2Zn4Hg after structural relaxation, computed with PBE.

## Properties
Density of states at the Fermi level, states/eV/cell: 4.87
Energy of formation from the pure elements, eV per formula unit: 0.98
Crystal system: tetragonal

Lattice parameters (Å, degrees): 4.9562 4.9562 8.6452 73.34 73.34 90.00
Closest atoms and distances in Å follow each position.
Atoms (fractional coordinates):
Ca 0.3626 0.3626 0.2747  5 Zn 2.98-3.29
Ca 0.6374 0.6374 0.7253  5 Zn 2.98-3.29
Zn 0.1739 0.1739 0.6522  1 Hg 2.75, 1 Ca 2.98
Zn 0.5000 0.0000 0.0000  2 Hg 2.48
Zn 0.0000 0.5000 0.0000  2 Hg 2.48
Zn 0.8261 0.8261 0.3478  1 Hg 2.75, 1 Ca 2.98
Hg 0.0000 0.0000 0.0000  6 Zn 2.48-2.75

(2)
Ca3Zn8Hg3 after structural relaxation, computed with PBE.

## Properties
Density of states at the Fermi level, states/eV/cell: 5.05
Energy of formation from the pure elements, eV per formula unit: -3.46
Crystal system: orthorhombic

Lattice parameters (Å, degrees): 4.4834 8.5866 8.5866 66.59 74.87 74.87
Closest atoms and distances in Å follow each position.
Atoms (fractional coordinates):
Zn 0.3575 0.3723 0.9127  3 Zn 2.62-2.63, 1 Hg 2.91
Zn 0.1766 0.4583 0.1886  4 Zn 2.54-2.63, 1 Hg 2.71
Zn 0.3575 0.9127 0.3723  3 Zn 2.62-2.63, 1 Hg 2.91
Zn 0.6425 0.0873 0.6277  3 Zn 2.62-2.63, 1 Hg 2.91
Zn 0.8234 0.5417 0.8114  4 Zn 2.54-2.63, 1 Hg 2.71
Zn 0.6425 0.6277 0.0873  3 Zn 2.62-2.63, 1 Hg 2.91
Zn 0.1766 0.1886 0.4583  4 Zn 2.54-2.63, 1 Hg 2.71
Zn 0.8234 0.8114 0.5417  4 Zn 2.54-2.63, 1 Hg 2.71
Hg 0.0000 0.2321 0.7679  6 Zn 2.71-2.97
Hg 0.5000 0.0000 0.0000  4 Zn 2.91, 4 Hg 3.13
Hg 0.0000 0.7679 0.2321  6 Zn 2.71-2.97
Ca 0.8090 0.1910 0.1910  12 Zn 3.15-3.45, 4 Hg 3.40-3.44
Ca 0.5000 0.5000 0.5000  12 Zn 3.20-3.53, 4 Hg 3.38
Ca 0.1910 0.8090 0.8090  12 Zn 3.15-3.45, 4 Hg 3.40-3.44

(3)
Ca2ZnHg2 after structural relaxation, computed with PBE.

## Properties
Density of states at the Fermi level, states/eV/cell: 6.81
Energy of formation from the pure elements, eV per formula unit: -1.20
Crystal system: tetragonal

Lattice parameters (Å, degrees): 8.4083 8.4083 4.0467 90.00 90.00 90.00
Closest atoms and distances in Å follow each position.
Atoms (fractional coordinates):
Ca 0.1593 0.3407 0.0000  6 Hg 3.13-3.23, 2 Zn 3.16
Ca 0.8407 0.6593 0.0000  6 Hg 3.13-3.23, 2 Zn 3.16
Ca 0.3407 0.8407 0.0000  6 Hg 3.13-3.23, 2 Zn 3.16
Ca 0.6593 0.1593 0.0000  6 Hg 3.13-3.23, 2 Zn 3.16
Hg 0.1396 0.6396 0.5000  6 Ca 3.13-3.23, 1 Hg 3.32
Hg 0.6396 0.8604 0.5000  6 Ca 3.13-3.23, 1 Hg 3.32
Hg 0.8604 0.3604 0.5000  6 Ca 3.13-3.23, 1 Hg 3.32
Hg 0.3604 0.1396 0.5000  6 Ca 3.13-3.23, 1 Hg 3.32
Zn 0.0000 0.0000 0.0000  4 Ca 3.16
Zn 0.5000 0.5000 0.0000  4 Ca 3.16

(4)
Ca3Zn4Hg2 after structural relaxation, computed with PBE.

## Properties
Density of states at the Fermi level, states/eV/cell: 5.26
Energy of formation from the pure elements, eV per formula unit: -3.16
Crystal system: monoclinic

Lattice parameters (Å, degrees): 4.5939 5.9911 8.9975 111.55 90.00 112.54
Closest atoms and distances in Å follow each position.
Atoms (fractional coordinates):
Ca 0.0000 0.0000 0.0000  8 Zn 3.23-3.38, 4 Hg 3.26
Ca 0.3350 0.6701 0.3299  8 Zn 3.21-3.40, 4 Hg 3.24-3.35
Ca 0.6650 0.3299 0.6701  8 Zn 3.21-3.40, 4 Hg 3.24-3.35
Zn 0.0538 0.1077 0.3967  1 Zn 2.58, 2 Hg 2.73
Zn 0.9462 0.8923 0.6033  1 Zn 2.58, 2 Hg 2.73
Zn 0.2730 0.5460 0.9492  2 Zn 2.60, 1 Hg 2.78
Zn 0.7270 0.4540 0.0508  2 Zn 2.60, 1 Hg 2.78
Hg 0.6153 0.2305 0.2781  3 Zn 2.73-2.78
Hg 0.3847 0.7695 0.7219  3 Zn 2.73-2.78

(5)
Ca8ZnHg2 after structural relaxation, computed with PBE.

## Properties
Density of states at the Fermi level, states/eV/cell: 12.77
Energy of formation from the pure elements, eV per formula unit: -2.75
Crystal system: monoclinic

Lattice parameters (Å, degrees): 5.3244 7.5191 9.8505 107.43 105.68 90.00
Closest atoms and distances in Å follow each position.
Atoms (fractional coordinates):
Ca 0.7966 0.6896 0.5933  3 Hg 3.12-3.45
Ca 0.6658 0.9637 0.3316  3 Hg 3.15-3.36, 1 Zn 3.24
Ca 0.5947 0.4515 0.1894  1 Zn 3.31, 2 Hg 3.40, 4 Ca 3.64-3.69
Ca 0.3342 0.0363 0.6684  3 Hg 3.15-3.36, 1 Zn 3.24
Ca 0.9704 0.2104 0.9407  1 Hg 3.16, 2 Zn 3.23
Ca 0.0296 0.7896 0.0593  1 Hg 3.16, 2 Zn 3.23
Ca 0.4053 0.5485 0.8106  1 Zn 3.31, 2 Hg 3.40, 4 Ca 3.64-3.69
Ca 0.2034 0.3104 0.4067  3 Hg 3.12-3.45
Zn 0.5000 0.0000 0.0000  8 Ca 3.23-3.31
Hg 0.1830 0.7069 0.3660  9 Ca 3.12-3.45
Hg 0.8170 0.2931 0.6340  9 Ca 3.12-3.45

(6)
Ca2ZnHg2 after structural relaxation, computed with PBE.

## Properties
Density of states at the Fermi level, states/eV/cell: 1.79
Energy of formation from the pure elements, eV per formula unit: -0.91
Crystal system: tetragonal

Lattice parameters (Å, degrees): 4.1790 4.1790 8.9364 76.48 76.48 90.00
Closest atoms and distances in Å follow each position.
Atoms (fractional coordinates):
Hg 0.2500 0.7500 0.5000  4 Hg 2.95, 4 Ca 3.26
Hg 0.7500 0.2500 0.5000  4 Hg 2.95, 4 Ca 3.26
Ca 0.6013 0.6013 0.7975  4 Hg 3.26, 4 Zn 3.41, 1 Ca 3.42
Ca 0.3987 0.3987 0.2025  4 Hg 3.26, 4 Zn 3.41, 1 Ca 3.42
Zn 0.0000 0.0000 0.0000  8 Ca 3.41